1.
Below is crystalline TbGeAu3 at its relaxed geometry, with properties calculated at the GGA-PBE level.

Cell and atoms, written as extended XYZ:
```
10
Lattice="4.340 0.000 0.000 0.000 6.925 -1.123 0.000 -0.726 6.932" Properties=species:S:1:pos:R:3 pbc="T T T"
Au 2.065 5.886 -0.385
Au 4.234 2.626 2.723
Au 4.235 3.588 5.346
Au 2.064 3.147 0.753
Au 4.235 -0.113 3.860
Au 2.065 1.461 5.061
Tb 2.064 4.791 3.510
Tb 4.235 0.984 -0.036
Ge 4.234 4.756 1.089
Ge 2.064 1.016 2.384
```

Properties
N(E_F)   2.2 states/eV/f.u.
Offset from the most stable computed form   0.000 eV/f.u.

***

2.
Below is crystalline TaCuPbC2 at its relaxed geometry, with properties calculated at the GGA-PBE level.

Cell and atoms, written as extended XYZ:
```
5
Lattice="-2.372 1.838 3.076 -0.792 -4.999 2.376 3.532 0.572 2.381" Properties=species:S:1:pos:R:3 pbc="T T T"
Pb 0.000 0.000 0.000
C 1.766 0.286 1.191
C -1.186 0.919 1.538
Cu 0.184 -1.294 3.917
Ta -0.396 -2.500 1.188
```

Properties
N(E_F)   4.6 states/eV/f.u.

***

3.
Below is crystalline HfZr2Rh at its relaxed geometry, with properties calculated at the GGA-PBE level.

Cell and atoms, written as extended XYZ:
```
4
Lattice="-1.079 3.116 0.436 -2.643 -1.147 1.662 3.755 0.425 6.263" Properties=species:S:1:pos:R:3 pbc="T T T"
Zr 0.832 0.094 1.388
Zr 2.922 0.331 4.874
Rh -1.861 0.984 1.049
Hf 0.016 1.197 4.180
```

Properties
N(E_F)   4.6 states/eV/f.u.
Offset from the most stable computed form   0.098 eV/f.u.

***

4.
Below is crystalline Th2CuPdRh at its relaxed geometry, with properties calculated at the GGA-PBE level.

Cell and atoms, written as extended XYZ:
```
10
Lattice="-3.657 1.625 -1.168 -3.221 -3.072 5.807 2.300 6.782 2.235" Properties=species:S:1:pos:R:3 pbc="T T T"
Pd -2.187 4.761 2.314
Pd -2.390 0.573 4.559
Cu -3.397 2.242 2.594
Cu -1.181 3.093 4.279
Rh -2.950 1.455 0.101
Rh -1.628 3.880 6.773
Th -0.555 2.412 1.374
Th 0.290 5.828 3.479
Th -4.022 2.923 5.499
Th -4.868 -0.493 3.394
```

Properties
N(E_F)   3.1 states/eV/f.u.

***

5.
Below is crystalline NbCoPAu2 at its relaxed geometry, with properties calculated at the GGA-PBE level.

Cell and atoms, written as extended XYZ:
```
5
Lattice="-0.715 -2.941 -4.151 4.527 0.475 -1.116 1.121 -4.180 2.769" Properties=species:S:1:pos:R:3 pbc="T T T"
Au -0.357 -1.471 -2.076
Au 0.561 -2.090 1.384
P 2.264 0.238 -0.558
Nb 0.000 0.000 0.000
Co 2.467 -3.323 -1.250
```

Properties
N(E_F)   6.7 states/eV/f.u.

***

6.
Below is crystalline AgHg2Au at its relaxed geometry, with properties calculated at the GGA-PBE level.

Cell and atoms, written as extended XYZ:
```
4
Lattice="3.085 0.040 0.000 -0.039 3.085 0.000 0.000 0.000 8.729" Properties=species:S:1:pos:R:3 pbc="T T T"
Au 1.523 1.562 6.406
Hg 0.000 0.000 8.571
Hg 1.523 1.562 2.358
Ag 0.000 0.000 4.487
```

Properties
N(E_F)   0.5 states/eV/f.u.

***

In eV/atom, the electronic total energy values for the records above are, in order, -4.3226; -4.3571; -9.0043; -6.9231; -4.6665; -1.6171.
In meV/atom, the energy of formation from the pure elements values for the records above are, in order, -507; 3264; -404; -627; 1162; 66.